Entry 1:
Entry from Alexandria: an optimized crystal structure of DyCdI6 (PBE).

Cell: 7.5185 7.5258 7.9176 Å, 90.11 117.95 119.96°
With the nearest neighbours (Å) after each atom.
Space group P-1 (No. 2)
Asymmetric unit:
Dy 0.0000 0.0000 0.0000  6 I 3.03
Cd 0.0000 0.5000 0.5000  6 I 3.02-3.04
I 0.1736 0.2492 0.7486  1 Dy 3.03, 1 Cd 3.03
I 0.1738 0.4246 0.2491  1 Cd 3.02, 1 Dy 3.03
I 0.4989 0.0763 0.2496  1 Dy 3.03, 1 Cd 3.04

Raw total energy, eV for the cell shown: -20.9
Crystal system: triclinic
Formation energy from raw total energies, meV/atom: -759

Entry 2:
Entry from Alexandria: an optimized crystal structure of Dy2CdI (PBE).

Cell: 3.6188 3.6188 34.1009 Å, 90.00 90.00 120.00°
With the nearest neighbours (Å) after each atom.
Space group R-3m (No. 166, hexagonal axes)
Asymmetric unit:
Dy 0.0000 0.0000 0.0932  1 Cd 3.18, 3 I 3.26
Cd 0.0000 0.0000 0.0000  2 Dy 3.18
I 0.0000 0.0000 0.5000  6 Dy 3.26, 6 I 3.62

Raw total energy, eV for the cell shown: -35.8
Crystal system: trigonal
Formation energy from raw total energies, meV/atom: -67

Entry 3:
Entry from Alexandria: an optimized crystal structure of RbDyCdI6 (PBE).

Cell: 7.8552 7.8552 16.4063 Å, 90.00 90.00 120.00°
With the nearest neighbours (Å) after each atom.
Space group P-31c (No. 163)
Asymmetric unit:
Rb 0.0000 0.0000 0.0000  6 I 3.74
Dy 0.3333 0.6667 0.2500  6 I 3.05
Cd 0.3333 0.6667 0.7500  6 I 3.04
I 0.0006 0.3726 0.6424  1 Cd 3.04, 1 Dy 3.05

Raw total energy, eV for the cell shown: -52.1
Crystal system: trigonal
Formation energy from raw total energies, meV/atom: -1138

Entry 4:
Entry from Alexandria: an optimized crystal structure of DyTlCdI6 (PBE).

Cell: 7.8095 7.8095 15.3697 Å, 90.00 90.00 120.00°
With the nearest neighbours (Å) after each atom.
Space group P-31c (No. 163)
Asymmetric unit:
Dy 0.3333 0.6667 0.2500  6 I 3.05
Tl 0.0000 0.0000 0.0000  6 I 3.54
Cd 0.3333 0.6667 0.7500  6 I 3.04
I 0.0011 0.3674 0.6358  1 Cd 3.04, 1 Dy 3.05

Raw total energy, eV for the cell shown: -51.3
Crystal system: trigonal
Formation energy from raw total energies, meV/atom: -942

Entry 5:
Entry from Alexandria: an optimized crystal structure of Dy3Cd3In (PBE).

Cell: 3.5738 4.8799 20.8859 Å, 90.00 90.00 90.00°
With the nearest neighbours (Å) after each atom.
Space group Imm2 (No. 44)
Asymmetric unit:
Dy 0.0000 0.0000 0.0000  7 Cd 3.21-3.27, 2 Dy 3.57
Dy 0.0000 0.0000 0.4018  5 Cd 3.23-3.24, 2 In 3.31, 2 Dy 3.57
Dy 0.0000 0.5000 0.2004  4 In 3.34, 8 Cd 3.35-3.53, 2 Dy 3.57
Cd 0.0000 0.0000 0.5565  2 Cd 2.89, 1 Dy 3.23
Cd 0.0000 0.0000 0.8463  2 In 2.93, 5 Dy 3.21-3.24
Cd 0.0000 0.5000 0.6309  1 In 2.87, 2 Cd 2.89
In 0.0000 0.5000 0.7683  3 Cd 2.87-2.93

Raw total energy, eV for the cell shown: -43.0
Energy of formation from the pure elements, eV per atom: -0.3153
Crystal system: orthorhombic

Entry 6:
Entry from Alexandria: an optimized crystal structure of DyCdIn (PBE).

Cell: 4.9068 4.9068 3.5955 Å, 90.00 90.00 120.00°
With the nearest neighbours (Å) after each atom.
Space group P3m1 (No. 156)
Asymmetric unit:
Dy 0.0000 0.0000 0.0000  6 In 3.35-3.36, 6 Cd 3.35-3.36, 2 Dy 3.60
Cd 0.3333 0.6667 0.4984  3 In 2.83
In 0.6667 0.3333 0.5017  3 Cd 2.83

Raw total energy, eV for the cell shown: -9.4
Energy of formation from the pure elements, eV per atom: -0.3868
Crystal system: trigonal

Entry 7:
Entry from Alexandria: an optimized crystal structure of Dy2Cd15In2 (PBE).

Cell: 10.2289 10.2289 14.6620 Å, 90.00 90.00 120.00°
With the nearest neighbours (Å) after each atom.
Space group R-3m (No. 166, hexagonal axes)
Asymmetric unit:
Dy 0.0000 0.0000 0.1690  1 In 3.38, 9 Cd 3.48-3.66
Cd 0.0000 0.3204 0.5000  8 Cd 2.94-3.28
Cd 0.0000 0.5000 0.0000  8 Cd 2.94-3.03, 2 In 3.11
Cd 0.0158 0.5079 0.6574  8 Cd 2.83-3.07
In 0.0000 0.0000 0.3994  1 In 2.95, 6 Cd 3.11-3.28

Raw total energy, eV for the cell shown: -90.1
Energy of formation from the pure elements, eV per atom: -0.0854
Crystal system: trigonal

Entry 8:
Entry from Alexandria: an optimized crystal structure of Dy2Cd3In (PBE).

Cell: 6.9887 9.9284 17.1510 Å, 90.00 90.00 90.00°
With the nearest neighbours (Å) after each atom.
Space group Fmmm (No. 69)
Asymmetric unit:
Dy 0.2491 0.0000 0.0000  10 Cd 3.33-3.36, 2 In 3.35, 2 Dy 3.48-3.51
Dy 0.2500 0.2500 0.2500  4 In 3.36, 8 Cd 3.36, 2 Dy 3.49
Cd 0.0000 0.0000 0.1657  2 Cd 2.85, 1 In 2.88
Cd 0.0000 0.2490 0.0827  2 Cd 2.84-2.85, 1 In 2.88
In 0.0000 0.0000 0.3334  3 Cd 2.88

Raw total energy, eV for the cell shown: -134.5
Energy of formation from the pure elements, eV per atom: -0.3551
Crystal system: orthorhombic

Entry 9:
Entry from Alexandria: an optimized crystal structure of Dy4CdIn3 (PBE).

Cell: 3.7543 3.7543 15.0303 Å, 90.00 90.00 90.00°
With the nearest neighbours (Å) after each atom.
Space group P4/mmm (No. 123)
Asymmetric unit:
Dy 0.0000 0.0000 0.1225  4 Cd 3.23, 4 In 3.25
Dy 0.0000 0.0000 0.3738  8 In 3.26-3.27
Cd 0.5000 0.5000 0.0000  8 Dy 3.23
In 0.5000 0.5000 0.2468  8 Dy 3.25-3.27
In 0.5000 0.5000 0.5000  8 Dy 3.26

Raw total energy, eV for the cell shown: -31.0
Energy of formation from the pure elements, eV per atom: -0.4331
Crystal system: tetragonal

Entry 10:
Entry from Alexandria: an optimized crystal structure of Dy6Cd6In (PBE).

Cell: 6.0762 6.0762 11.0131 Å, 90.00 90.00 120.00°
With the nearest neighbours (Å) after each atom.
Space group P6/mmm (No. 191)
Asymmetric unit:
Dy 0.0000 0.0000 0.1577  6 Cd 3.22, 1 Dy 3.47
Dy 0.3333 0.6667 0.0000  6 Cd 3.30, 3 Dy 3.51
Dy 0.3333 0.6667 0.5000  6 Cd 3.23, 3 In 3.51, 3 Dy 3.51
Cd 0.0000 0.5000 0.2534  4 Cd 3.04, 6 Dy 3.22-3.30
In 0.0000 0.0000 0.5000  8 Dy 3.51-3.77

Raw total energy, eV for the cell shown: -37.9
Energy of formation from the pure elements, eV per atom: -0.1564
Crystal system: hexagonal

Entry 11:
Entry from Alexandria: an optimized crystal structure of Dy2Cd3In3 (PBE).

Cell: 4.5317 4.5863 9.3160 Å, 90.00 90.00 90.00°
With the nearest neighbours (Å) after each atom.
Space group Pmmm (No. 47)
Asymmetric unit:
Dy 0.0000 0.0000 0.2473  6 In 3.22-3.23, 6 Cd 3.25-3.29
Cd 0.0000 0.5000 0.0000  8 In 3.22-3.28, 4 Dy 3.25
Cd 0.0000 0.5000 0.5000  4 In 3.22, 4 Cd 3.22, 4 Dy 3.29
Cd 0.5000 0.0000 0.5000  4 Cd 3.22, 4 In 3.24, 4 Dy 3.27
In 0.5000 0.0000 0.0000  4 Cd 3.22, 4 Dy 3.23, 4 In 3.30
In 0.5000 0.5000 0.2549  6 Cd 3.22-3.28, 4 Dy 3.22, 2 In 3.30

Raw total energy, eV for the cell shown: -23.0
Energy of formation from the pure elements, eV per atom: -0.3585
Crystal system: orthorhombic

Entry 12:
Entry from Alexandria: an optimized crystal structure of Dy5Cd2In2 (PBE).

Cell: 16.3970 8.6232 7.2876 Å, 90.00 90.00 90.00°
With the nearest neighbours (Å) after each atom.
Space group Cmce (No. 64)
Asymmetric unit:
Dy 0.0000 0.0000 0.0000  4 Cd 3.05-3.24
Dy 0.1420 0.1886 0.3367  2 Cd 3.12-3.21, 3 In 3.14-3.15
Cd 0.0000 0.1371 0.6140  1 Cd 2.89, 5 Dy 3.05-3.21
In 0.2102 0.0000 0.0000  7 Dy 3.14-3.45

Raw total energy, eV for the cell shown: -130.8
Energy of formation from the pure elements, eV per atom: -0.2650
Crystal system: orthorhombic